# 1
Compound: LaTa2In
Source: the Alexandria database
Functional: meta-GGA SCAN
Structure: single point on PBEsol structure

Space-group type   Immm, No. 71
D(E_F)   4.09 states/eV per cell
Energy of formation   0.477 eV per atom

Cell lengths 3.0421, 5.4978, 6.0771 Å; angles 116.89, 104.50, 90.00 degrees
Atoms (fractional coordinates):
Ta 0.7587 0.7587 0.5175
Ta 0.2413 0.2413 0.4825
La 0.0000 0.5000 0.0000
In 0.5000 0.0000 0.0000

---

# 2
Compound: LaTa2In
Source: the Alexandria database
Functional: meta-GGA SCAN
Structure: single point on PBEsol structure

Space-group type   Cm, No. 8
D(E_F)   3.29 states/eV per cell
Energy of formation   0.329 eV per atom

Cell lengths 2.9831, 4.8763, 6.6990 Å; angles 94.33, 90.00, 107.81 degrees
Site moments in Bohr magnetons follow the coordinates.
Atoms (fractional coordinates):
In 0.4922 0.9844 0.4509  0.00
La 0.2394 0.4789 0.7597  -0.12
Ta 0.7542 0.5084 0.2264  0.00
Ta 0.0142 0.0283 0.0629  -0.01

---

# 3
Compound: LaTaIn2W
Source: the Alexandria database
Functional: meta-GGA SCAN
Structure: single point on PBEsol structure

Space-group type   P4/mmm, No. 123
D(E_F)   5.79 states/eV per cell
Energy of formation   2.648 eV per atom

Cell lengths 5.0354, 5.5687, 5.5687 Å; angles 90.00, 90.00, 90.00 degrees
Site moments in Bohr magnetons follow the coordinates.
Atoms (fractional coordinates):
In 0.0000 0.5000 0.0000  -0.03
La 0.0000 0.0000 0.0000  -0.01
Ta 0.5000 0.0000 0.0000  0.10
W 0.5000 0.5000 0.5000  3.11
In 0.0000 0.0000 0.5000  -0.03